# 1
A plane-wave DFT calculation with GGA-PBE was carried out for Mn3SbCl after structural relaxation.

Unit cell a=4.5155 b=4.5155 c=4.5155 alpha=90.00 beta=90.00 gamma=90.00
Element x y z (fractional)
Mn1 0.0000 0.0000 0.5000
Mn2 0.0000 0.5000 0.0000
Mn3 0.5000 0.0000 0.0000
Sb1 0.5000 0.5000 0.5000
Cl1 0.0000 0.0000 0.0000

Properties
ΔE_f (raw) in eV per atom: 0.614
Symmetry: Pm-3m, No. 221
Energy relative to the lowest polymorph listed for this composition in meV/atom: 0.0



# 2
A plane-wave DFT calculation with GGA-PBE was carried out for MnSbCl2 after structural relaxation.

Unit cell a=3.3439 b=3.3439 c=8.4170 alpha=90.00 beta=90.00 gamma=90.00
Element x y z (fractional)
Mn1 0.0000 0.0000 0.0000
Sb1 0.5000 0.5000 0.2427
Cl1 0.0000 0.0000 0.4637
Cl2 0.5000 0.5000 0.8520

Properties
ΔE_f (raw) in eV per atom: -0.258
Symmetry: P4mm, No. 99
Energy relative to the lowest polymorph listed for this composition in meV/atom: 250.5



# 3
A plane-wave DFT calculation with GGA-PBE was carried out for MnSbCl6 after structural relaxation.

Unit cell a=6.8775 b=6.8775 c=6.8775 alpha=55.92 beta=55.92 gamma=55.92
Element x y z (fractional)
Mn1 0.0000 0.0000 0.0000
Sb1 0.5000 0.5000 0.5000
Cl1 0.0955 0.7643 0.3788
Cl2 0.2357 0.6212 0.9045
Cl3 0.3788 0.0955 0.7643
Cl4 0.6212 0.9045 0.2357
Cl5 0.7643 0.3788 0.0955
Cl6 0.9045 0.2357 0.6212

Properties
ΔE_f (raw) in eV per atom: -0.829
Symmetry: R-3, No. 148
Energy relative to the lowest polymorph listed for this composition in meV/atom: 10.5



# 4
A plane-wave DFT calculation with GGA-PBE was carried out for Mn2SbCl after structural relaxation.

Unit cell a=3.0930 b=3.0930 c=8.9399 alpha=90.00 beta=90.00 gamma=90.00
Element x y z (fractional)
Mn1 0.0000 0.0000 0.0000
Mn2 0.5000 0.5000 0.1815
Sb1 0.0000 0.0000 0.4012
Cl1 0.5000 0.5000 0.8355

Properties
ΔE_f (raw) in eV per atom: -0.058
Symmetry: P4mm, No. 99
Energy relative to the lowest polymorph listed for this composition in meV/atom: 0.0



# 5
A plane-wave DFT calculation with GGA-PBE was carried out for MnSbCl2 after structural relaxation.

Unit cell a=6.6351 b=6.6351 c=6.6351 alpha=144.97 beta=144.97 gamma=50.38
Element x y z (fractional)
Mn1 0.0000 0.0000 0.0000
Sb1 0.2500 0.7500 0.5000
Cl1 0.5000 0.5000 0.0000
Cl2 0.7500 0.2500 0.5000

Properties
ΔE_f (raw) in eV per atom: 0.096
Symmetry: I-4m2, No. 119
Energy relative to the lowest polymorph listed for this composition in meV/atom: 603.9



# 6
A plane-wave DFT calculation with GGA-PBE was carried out for Mn2SbCl after structural relaxation.

Unit cell a=3.2914 b=3.2914 c=7.5890 alpha=90.00 beta=90.00 gamma=106.65
Element x y z (fractional)
Mn1 0.0000 0.0000 0.2499
Mn2 0.0000 0.0000 0.7501
Sb1 0.5000 0.5000 0.0000
Cl1 0.5000 0.5000 0.5000

Properties
ΔE_f (raw) in eV per atom: 0.152
Symmetry: Cmmm, No. 65
Energy relative to the lowest polymorph listed for this composition in meV/atom: 210.0



# 7
A plane-wave DFT calculation with GGA-PBE was carried out for Mn2SbCl after structural relaxation.

Unit cell a=4.7992 b=4.7992 c=7.5390 alpha=122.72 beta=122.72 gamma=37.86
Element x y z (fractional)
Mn1 0.1873 0.1873 0.3216
Mn2 0.8127 0.8127 0.6784
Sb1 0.0000 0.0000 0.5000
Cl1 0.5000 0.5000 0.0000

Properties
ΔE_f (raw) in eV per atom: -0.023
Symmetry: C2/m, No. 12
Energy relative to the lowest polymorph listed for this composition in meV/atom: 35.3



# 8
A plane-wave DFT calculation with GGA-PBE was carried out for Mn2SbCl after structural relaxation.

Unit cell a=4.8976 b=4.8976 c=4.8976 alpha=60.00 beta=60.00 gamma=60.00
Element x y z (fractional)
Mn1 0.2500 0.2500 0.2500
Mn2 0.7500 0.7500 0.7500
Sb1 0.0000 0.0000 0.0000
Cl1 0.5000 0.5000 0.5000

Properties
ΔE_f (raw) in eV per atom: 0.288
Symmetry: Fm-3m, No. 225
Energy relative to the lowest polymorph listed for this composition in meV/atom: 345.5



# 9
A plane-wave DFT calculation with GGA-PBE was carried out for Mn2SbCl after structural relaxation.

Unit cell a=3.4058 b=3.7311 c=6.6566 alpha=90.00 beta=90.00 gamma=90.00
Element x y z (fractional)
Mn1 0.0000 0.0000 0.2022
Mn2 0.0000 0.0000 0.7978
Sb1 0.5000 0.5000 0.0000
Cl1 0.5000 0.0000 0.5000

Properties
ΔE_f (raw) in eV per atom: -0.039
Symmetry: Pmmm, No. 47
Energy relative to the lowest polymorph listed for this composition in meV/atom: 18.7



# 10
A plane-wave DFT calculation with GGA-PBE was carried out for MnSbCl2 after structural relaxation.

Unit cell a=5.4074 b=5.4074 c=3.2415 alpha=90.00 beta=90.00 gamma=109.33
Element x y z (fractional)
Mn1 0.0000 0.0000 0.0000
Sb1 0.5000 0.5000 0.0000
Cl1 0.0000 0.5000 0.5000
Cl2 0.5000 0.0000 0.5000

Properties
ΔE_f (raw) in eV per atom: 0.140
Symmetry: Cmmm, No. 65
Energy relative to the lowest polymorph listed for this composition in meV/atom: 648.5



# 11
A plane-wave DFT calculation with GGA-PBE was carried out for MnSbCl2 after structural relaxation.

Unit cell a=9.6559 b=9.6559 c=9.6559 alpha=20.40 beta=20.40 gamma=20.40
Element x y z (fractional)
Mn1 0.0000 0.0000 0.0000
Sb1 0.5000 0.5000 0.5000
Cl1 0.0786 0.0786 0.0786
Cl2 0.9214 0.9214 0.9214

Properties
ΔE_f (raw) in eV per atom: -0.130
Symmetry: R-3m, No. 166
Energy relative to the lowest polymorph listed for this composition in meV/atom: 378.2



# 12
A plane-wave DFT calculation with GGA-PBE was carried out for MnSbCl2 after structural relaxation.

Unit cell a=3.3445 b=3.3445 c=11.8776 alpha=90.00 beta=90.00 gamma=116.40
Element x y z (fractional)
Mn1 0.0000 0.0000 0.0000
Sb1 0.0000 0.0000 0.5000
Cl1 0.5000 0.5000 0.1391
Cl2 0.5000 0.5000 0.8609

Properties
ΔE_f (raw) in eV per atom: -0.383
Symmetry: Cmmm, No. 65
Energy relative to the lowest polymorph listed for this composition in meV/atom: 125.4



Copy entry 3 word for word.
A plane-wave DFT calculation with GGA-PBE was carried out for MnSbCl6 after structural relaxation.

Unit cell a=6.8775 b=6.8775 c=6.8775 alpha=55.92 beta=55.92 gamma=55.92
Element x y z (fractional)
Mn1 0.0000 0.0000 0.0000
Sb1 0.5000 0.5000 0.5000
Cl1 0.0955 0.7643 0.3788
Cl2 0.2357 0.6212 0.9045
Cl3 0.3788 0.0955 0.7643
Cl4 0.6212 0.9045 0.2357
Cl5 0.7643 0.3788 0.0955
Cl6 0.9045 0.2357 0.6212

Properties
ΔE_f (raw) in eV per atom: -0.829
Symmetry: R-3, No. 148
Energy relative to the lowest polymorph listed for this composition in meV/atom: 10.5



Please write out number 8 again, unchanged.
A plane-wave DFT calculation with GGA-PBE was carried out for Mn2SbCl after structural relaxation.

Unit cell a=4.8976 b=4.8976 c=4.8976 alpha=60.00 beta=60.00 gamma=60.00
Element x y z (fractional)
Mn1 0.2500 0.2500 0.2500
Mn2 0.7500 0.7500 0.7500
Sb1 0.0000 0.0000 0.0000
Cl1 0.5000 0.5000 0.5000

Properties
ΔE_f (raw) in eV per atom: 0.288
Symmetry: Fm-3m, No. 225
Energy relative to the lowest polymorph listed for this composition in meV/atom: 345.5